The following is a DFT calculation (GGA-PBE) of a relaxed structure of LiPrCu4.

Computed properties:
For the energy, the calculation gives -22.48 eV/f.u. The symmetry is F-43m, No. 216.

abc: 5.147 5.147 5.147
angles: 60.00 60.00 60.00
Fractional coordinates of all 6 atoms:
Cu1 0.373 0.882 0.373
Cu2 0.373 0.373 0.373
Cu3 0.882 0.373 0.373
Cu4 0.373 0.373 0.882
Li1 0.000 0.000 0.000
Pr1 0.750 0.750 0.750